# CaTaOs2Pd, optimized geometry, DFT PBEsol
# - calculated total energy (eV/atom) = -7.0578
# - calculated volume (Å³/cell) = 102.3
# - energy of formation (eV per atom) = 1.957
# - DOS at the Fermi energy (states/eV/f.u.) = 7.2
# - ρ (g cm⁻³) = 11.49
data_CaTaOs2Pd
_chemical_formula_sum 'Ca1 Ta1 Os2 Pd1'
_symmetry_space_group_name_H-M 'P 1'
_symmetry_Int_Tables_number 1
_cell_length_a 4.554
_cell_length_b 4.740
_cell_length_c 4.740
_cell_angle_alpha 90.00
_cell_angle_beta 90.00
_cell_angle_gamma 90.00
loop_
_symmetry_equiv_pos_as_xyz
'x,y,z'
loop_
_atom_site_label
_atom_site_fract_x
_atom_site_fract_y
_atom_site_fract_z
Ca1 0.500 0.000 0.000
Os1 0.000 0.000 0.500
Os2 0.000 0.500 0.000
Pd1 0.000 0.000 0.000
Ta1 0.500 0.500 0.500